Record 1
# Sc2Cu2Sb PBEsol optimized geometry
data_Sc2Cu2Sb
_chemical_formula_sum 'Sc4 Cu4 Sb2'
_space_group_name_H-M_alt 'P 4/m b m'
_space_group_IT_number 127
_space_group_name_Hall '-P 4 2ab'
_cell_length_a 6.7855
_cell_length_b 6.7855
_cell_length_c 3.8286
_cell_angle_alpha 90.00
_cell_angle_beta 90.00
_cell_angle_gamma 90.00
loop_
_atom_site_label
_atom_site_fract_x
_atom_site_fract_y
_atom_site_fract_z
Sc1 0.1669 0.3331 0.0000
Cu1 0.1242 0.6242 0.5000
Sb1 0.0000 0.0000 0.5000
# - VASP energy (hartree per atom) = -0.2128
# - calculated density (g/cm³) = 6.38
# - E_form (uncorrected) (eV/atom) = -0.50



Record 2
# Rb2SbAuBr6 PBEsol optimized geometry
data_Rb2SbAuBr6
_chemical_formula_sum 'Rb8 Sb4 Au4 Br24'
_space_group_name_H-M_alt 'F m -3 m'
_space_group_IT_number 225
_space_group_name_Hall '-F 4 2 3'
_cell_length_a 11.0070
_cell_length_b 11.0070
_cell_length_c 11.0070
_cell_angle_alpha 90.00
_cell_angle_beta 90.00
_cell_angle_gamma 90.00
loop_
_atom_site_label
_atom_site_fract_x
_atom_site_fract_y
_atom_site_fract_z
Rb1 0.2500 0.2500 0.2500
Sb1 0.0000 0.0000 0.0000
Au1 0.0000 0.0000 0.5000
Br1 0.0000 0.0000 0.2527
# - VASP energy (hartree per atom) = -0.1139
# - calculated density (g/cm³) = 4.83
# - E_form (uncorrected) (eV/atom) = -0.92